(1)
Compound: HfVIn2S
Source: Alexandria
Functional: GGA-PBE
Structure: relaxed Values from VASP.

Cell and atoms, written as Quantum ESPRESSO input:
```
&SYSTEM
  ibrav = 0, nat = 5, ntyp = 4
/
ATOMIC_SPECIES
V 50.94 V.upf
In 114.82 In.upf
S 32.06 S.upf
Hf 178.49 Hf.upf
CELL_PARAMETERS angstrom
5.1302 0.0000 0.0000
0.0000 4.6938 0.0000
0.0000 0.0000 5.1302
ATOMIC_POSITIONS angstrom
V 2.5651 2.3469 2.5651
In 2.5651 0.0000 0.0000
In 0.0000 0.0000 2.5651
S 0.0000 0.0000 0.0000
Hf 0.0000 2.3469 0.0000
```

The value obtained for the uncorrected formation energy is 0.7411 eV per atom. Its density of states at the Fermi level is 5.8 states/eV per cell.

(2)
Compound: Hf2In2Sb
Source: Alexandria
Functional: GGA-PBE
Structure: relaxed Values from VASP.

Cell and atoms, written as Quantum ESPRESSO input:
```
&SYSTEM
  ibrav = 0, nat = 10, ntyp = 3
/
ATOMIC_SPECIES
Hf 178.49 Hf.upf
Sb 121.76 Sb.upf
In 114.82 In.upf
CELL_PARAMETERS angstrom
7.3711 0.0000 0.0000
0.0000 7.3711 0.0000
0.0000 0.0000 4.4524
ATOMIC_POSITIONS angstrom
Hf 4.8064 1.1208 0.0000
Hf 1.1208 2.5648 0.0000
Hf 6.2503 4.8064 0.0000
Hf 2.5648 6.2503 0.0000
Sb 3.6856 3.6856 0.0000
Sb 0.0000 0.0000 0.0000
In 2.5679 1.1177 2.2262
In 1.1177 4.8032 2.2262
In 6.2534 2.5679 2.2262
In 4.8032 6.2534 2.2262
```

Its energy above the most stable polymorph in this dataset is 0.0000 eV per atom. The value obtained for the uncorrected formation energy is -0.1671 eV per atom. Its density of states at the Fermi level is 3.5 states/eV per cell.

(3)
Compound: Hf8In3Sb2
Source: Alexandria
Functional: GGA-PBE
Structure: relaxed Values from VASP.

Cell and atoms, written as Quantum ESPRESSO input:
```
&SYSTEM
  ibrav = 0, nat = 13, ntyp = 3
/
ATOMIC_SPECIES
In 114.82 In.upf
Sb 121.76 Sb.upf
Hf 178.49 Hf.upf
CELL_PARAMETERS angstrom
-4.6150 -3.4733 -0.2746
1.6332 -2.7640 7.5147
-4.4262 6.2604 -1.1785
ATOMIC_POSITIONS angstrom
In 0.3007 -0.5089 1.3836
In 1.3325 -2.2551 6.1311
In -2.3075 -1.7367 -0.1373
Sb -3.1269 0.9610 1.0331
Sb -4.2812 -0.9380 5.0285
Hf -5.1892 1.0878 3.1216
Hf -5.7750 2.0793 0.4261
Hf -2.2189 -1.0648 2.9400
Hf -5.2205 -1.0341 0.7542
Hf -2.1876 1.0572 5.3074
Hf -3.3093 3.5907 2.0399
Hf -1.6331 -2.0562 5.6354
Hf -4.0988 -3.5677 4.0216
```

The value obtained for the uncorrected formation energy is 0.0563 eV per atom. Its density of states at the Fermi level is 12.1 states/eV per cell.

(4)
Compound: Hf3InSb
Source: Alexandria
Functional: GGA-PBE
Structure: relaxed Values from VASP.

Cell and atoms, written as Quantum ESPRESSO input:
```
&SYSTEM
  ibrav = 0, nat = 5, ntyp = 3
/
ATOMIC_SPECIES
In 114.82 In.upf
Hf 178.49 Hf.upf
Sb 121.76 Sb.upf
CELL_PARAMETERS angstrom
-1.6473 -2.3985 -4.3332
3.3940 -3.8724 0.8531
-3.6069 -2.5484 2.7818
ATOMIC_POSITIONS angstrom
In -0.9301 -4.4096 -0.3491
Hf -0.8237 -1.1992 -2.1666
Hf 1.6970 -1.9362 0.4266
Hf -1.8035 -1.2742 1.3909
Sb 0.0000 0.0000 0.0000
```

Its energy above the most stable polymorph in this dataset is 0.9962 eV per atom. The value obtained for the uncorrected formation energy is 0.8141 eV per atom. Its density of states at the Fermi level is 4.1 states/eV per cell.

(5)
Compound: Hf2InSb
Source: Alexandria
Functional: GGA-PBE
Structure: relaxed Values from VASP.

Cell and atoms, written as Quantum ESPRESSO input:
```
&SYSTEM
  ibrav = 0, nat = 4, ntyp = 3
/
ATOMIC_SPECIES
Sb 121.76 Sb.upf
Hf 178.49 Hf.upf
In 114.82 In.upf
CELL_PARAMETERS angstrom
-0.4391 -1.3189 -3.4087
2.8578 -0.0968 -2.3185
2.7229 -8.0321 0.7692
ATOMIC_POSITIONS angstrom
Sb 4.3327 -8.9654 -3.0526
Hf 2.2798 -6.2843 0.1500
Hf 1.2485 -2.2164 -1.2911
In 2.5743 -4.7378 -2.4741
```

The value obtained for the uncorrected formation energy is -0.0560 eV per atom. Its density of states at the Fermi level is 2.9 states/eV per cell.

(6)
Compound: Hf2InSb2
Source: Alexandria
Functional: GGA-PBE
Structure: relaxed Values from VASP.

Cell and atoms, written as Quantum ESPRESSO input:
```
&SYSTEM
  ibrav = 0, nat = 10, ntyp = 3
/
ATOMIC_SPECIES
Hf 178.49 Hf.upf
Sb 121.76 Sb.upf
In 114.82 In.upf
CELL_PARAMETERS angstrom
7.8790 0.0000 0.0000
0.0000 7.8790 0.0000
0.0000 0.0000 3.8235
ATOMIC_POSITIONS angstrom
Hf 6.7461 5.0724 0.0000
Hf 2.8066 6.7461 0.0000
Hf 1.1329 2.8066 0.0000
Hf 5.0724 1.1329 0.0000
Sb 5.1346 6.6839 1.9117
Sb 1.1951 5.1346 1.9117
Sb 2.7444 1.1951 1.9117
Sb 6.6839 2.7444 1.9117
In 0.0000 0.0000 0.0000
In 3.9395 3.9395 0.0000
```

Its energy above the most stable polymorph in this dataset is 0.0000 eV per atom. The value obtained for the uncorrected formation energy is -0.2999 eV per atom. Its density of states at the Fermi level is 4.6 states/eV per cell.

(7)
Compound: Hf4InSb3
Source: Alexandria
Functional: GGA-PBE
Structure: relaxed Values from VASP.

Cell and atoms, written as Quantum ESPRESSO input:
```
&SYSTEM
  ibrav = 0, nat = 16, ntyp = 3
/
ATOMIC_SPECIES
Hf 178.49 Hf.upf
Sb 121.76 Sb.upf
In 114.82 In.upf
CELL_PARAMETERS angstrom
-2.0489 4.6306 -2.1193
-5.5631 -1.6773 1.7133
1.4481 5.0598 9.6555
ATOMIC_POSITIONS angstrom
Hf -3.6729 5.3390 7.1927
Hf -1.7194 0.9923 2.9154
Hf -1.0061 3.4846 7.6715
Hf -3.5595 -0.7350 0.9190
Hf -2.5680 4.4997 4.2892
Hf -4.4077 2.7715 2.2932
Hf -3.1131 2.0239 -0.5937
Hf -3.0145 1.7410 5.8018
Sb -5.8248 1.2061 0.2415
Sb -4.4164 0.1353 3.6506
Sb -3.6758 2.7233 8.5892
Sb -1.7107 3.6284 1.5581
Sb -1.0032 6.1002 6.2750
Sb -0.3027 2.5585 4.9667
In -0.8633 0.0783 0.0884
In -5.2645 3.6871 5.1195
```

The value obtained for the uncorrected formation energy is -0.3377 eV per atom. Its density of states at the Fermi level is 8.4 states/eV per cell.

(8)
Compound: Hf6InSb3
Source: Alexandria
Functional: GGA-PBE
Structure: relaxed Values from VASP.

Cell and atoms, written as Quantum ESPRESSO input:
```
&SYSTEM
  ibrav = 0, nat = 20, ntyp = 3
/
ATOMIC_SPECIES
In 114.82 In.upf
Hf 178.49 Hf.upf
Sb 121.76 Sb.upf
CELL_PARAMETERS angstrom
-3.4747 -0.3976 6.3966
7.0709 -2.7723 3.6687
-0.7784 8.3980 0.0992
ATOMIC_POSITIONS angstrom
In 0.3021 6.3249 1.3901
In 3.5565 -0.9777 6.8584
Hf 5.7027 -2.3615 5.3404
Hf -0.7424 2.2735 4.8306
Hf 0.3530 -1.4018 6.7797
Hf -3.1460 7.5597 5.3049
Hf 3.7173 1.6059 8.7942
Hf -0.6082 5.2774 4.4742
Hf -1.2704 3.5797 2.0531
Hf 4.8939 0.1186 2.9879
Hf 2.0939 6.5875 4.0676
Hf 1.6734 4.4333 6.2772
Hf 4.5130 3.0636 3.5801
Hf 2.0971 0.9038 2.1335
Sb 1.0120 1.6525 7.1807
Sb -2.9409 1.8490 6.5792
Sb 4.2280 3.2039 6.4033
Sb 0.3932 -0.2245 4.1070
Sb 1.5577 3.5471 3.4405
Sb 0.8939 5.2774 8.8755
```

The value obtained for the uncorrected formation energy is -0.2299 eV per atom. Its density of states at the Fermi level is 13.2 states/eV per cell.